Compound: Tm8Th3Sc2
Source: the Alexandria database
Functional: PBE
Structure: optimized geometry

```
Tm8Th3Sc2
1.0
5.970 -0.153 0.994
-1.269 5.493 2.202
-1.776 -2.457 10.493
Th Tm Sc
3 8 2
direct
0.000 0.000 0.000 Th
0.461 0.767 0.924 Th
0.539 0.233 0.076 Th
0.693 0.157 0.388 Tm
0.610 0.693 0.235 Tm
0.922 0.537 0.844 Tm
0.390 0.307 0.765 Tm
0.078 0.463 0.156 Tm
0.307 0.843 0.612 Tm
0.152 0.924 0.311 Tm
0.848 0.076 0.689 Tm
0.770 0.613 0.536 Sc
0.230 0.387 0.464 Sc
```

Values from the calculation:
ΔE_f = 0.6 eV per formula unit
Space group = P-1 (2)
Distance to the lowest polymorph of the same formula = 0.0000 eV/atom